Entry 1:
Ca4TlPt | PBE | relaxed Values from VASP.

```
&SYSTEM
  ibrav = 0, nat = 6, ntyp = 3
/
ATOMIC_SPECIES
Ca 40.08 Ca.upf
Tl 204.38 Tl.upf
Pt 195.08 Pt.upf
CELL_PARAMETERS angstrom
5.173 0.000 -0.001
0.000 5.174 0.000
0.005 0.009 7.265
ATOMIC_POSITIONS crystal
Ca 0.501 0.997 0.262
Ca 0.001 0.497 0.262
Ca 0.002 0.498 0.734
Ca 0.501 0.998 0.734
Tl 0.501 0.497 0.998
Pt 0.001 0.997 0.498
```

Volume (Å³ per atom): 32.41
Symmetry: No. 12
Fermi-level density of states (states/eV/cell): 5.893
Formation energy (eV per atom): -0.446
Mass density (Mg/m³): 4.78


Entry 2:
KNdInTe3 | PBE | relaxed Values from VASP.

```
&SYSTEM
  ibrav = 0, nat = 12, ntyp = 4
/
ATOMIC_SPECIES
Te 127.60 Te.upf
In 114.82 In.upf
Nd 144.24 Nd.upf
K 39.10 K.upf
CELL_PARAMETERS angstrom
4.649 0.000 0.000
0.000 9.647 -0.778
0.000 -3.425 12.436
ATOMIC_POSITIONS crystal
Te 0.250 0.094 0.859
Te 0.750 0.906 0.141
Te 0.250 0.769 0.396
Te 0.250 0.553 0.866
Te 0.750 0.231 0.604
Te 0.750 0.447 0.134
In 0.250 0.046 0.619
In 0.750 0.954 0.381
Nd 0.750 0.332 0.873
Nd 0.250 0.668 0.127
K 0.750 0.808 0.839
K 0.250 0.192 0.161
```

Volume (Å³ per atom): 45.44
Raw formation energy (meV/atom): -940
Symmetry: No. 11
Fermi-level density of states (states/eV/cell): 4.240
Mass density (Mg/m³): 4.15


Entry 3:
TiCrTcPt | PBE | relaxed Values from VASP.

```
&SYSTEM
  ibrav = 0, nat = 4, ntyp = 4
/
ATOMIC_SPECIES
Cr 52.00 Cr.upf
Pt 195.08 Pt.upf
Tc 98.00 Tc.upf
Ti 47.87 Ti.upf
CELL_PARAMETERS angstrom
4.369 0.000 0.000
2.184 3.783 0.000
2.184 1.261 3.567
ATOMIC_POSITIONS crystal
Cr 0.750 0.750 0.750
Pt 0.500 0.500 0.500
Tc 0.000 0.000 0.000
Ti 0.250 0.250 0.250
```

Volume (Å³ per atom): 14.74
Symmetry: No. 216
Fermi-level density of states (states/eV/cell): 4.108
Formation energy (eV per atom): -0.361
Mass density (Mg/m³): 11.07